(1)
NaLaGdIn | PBE-GGA | optimized geometry

- E_form (meV per atom) = -168
- calculated volume (Å³ per cell) = 121

abc: 5.556 5.556 5.556
angles: 60.00 60.00 60.00
Element x y z (fractional)
1 Na 0.000 0.000 0.000
2 La 0.750 0.750 0.750
3 Gd 0.250 0.250 0.250
4 In 0.500 0.500 0.500

=====

(2)
TbGa4Cu2Pd | PBE-GGA | optimized geometry

- E_form (meV per atom) = -396
- calculated volume (Å³ per cell) = 135

abc: 9.209 9.209 9.209
angles: 26.31 26.31 26.31
Element x y z (fractional)
1 Tb 0.000 0.000 0.000
2 Ga 0.126 0.126 0.126
3 Ga 0.399 0.399 0.399
4 Ga 0.601 0.601 0.601
5 Ga 0.874 0.874 0.874
6 Cu 0.243 0.243 0.243
7 Cu 0.757 0.757 0.757
8 Pd 0.500 0.500 0.500

=====

(3)
CsRb6Hg | PBE-GGA | optimized geometry

- E_form (meV per atom) = -26
- calculated volume (Å³ per cell) = 652
- energy relative to the lowest polymorph listed for this composition (kcal/mol of atoms) = 0.00

abc: 5.433 10.975 10.975
angles: 85.06 90.00 90.00
Element x y z (fractional)
1 Cs 0.000 0.000 0.000
2 Rb 0.000 0.502 0.502
3 Rb 0.000 0.579 0.930
4 Rb 0.000 0.930 0.579
5 Rb 0.500 0.259 0.259
6 Rb 0.500 0.287 0.755
7 Rb 0.500 0.755 0.287
8 Hg 0.500 0.666 0.666

=====

(4)
Ga3TcC | PBE-GGA | optimized geometry

- E_form (meV per atom) = 1477
- calculated volume (Å³ per cell) = 112
- energy relative to the lowest polymorph listed for this composition (kcal/mol of atoms) = 11.41

abc: 4.816 4.816 4.816
angles: 90.00 90.00 90.00
Element x y z (fractional)
1 Ga 0.000 0.000 0.500
2 Ga 0.000 0.500 0.000
3 Ga 0.500 0.000 0.000
4 Tc 0.000 0.000 0.000
5 C 0.500 0.500 0.500